The following is a PBE-GGA calculation of crystalline In2HgPb at its relaxed geometry, from Alexandria.

For the formation energy from the elements, the calculation gives 0.029 eV/atom. The value obtained for the total magnetization is 0.0 Bohr magnetons per cell. For the density of states at the Fermi level, the calculation gives 0.49 states/eV per atom.

abc: 5.8733 5.8733 5.8733
angles: 131.73 131.73 70.65
Atoms (fractional coordinates):
In: 0.0000 0.0000 0.0000
In: 0.7500 0.2500 0.5000
Hg: 0.5000 0.5000 0.0000
Pb: 0.2500 0.7500 0.5000

The following is a PBE-GGA calculation of crystalline InHg2Pb5 at its relaxed geometry, from Alexandria.

The value obtained for the excess energy over the best structure of this formula in the dataset is 0.00 kcal/mol of atoms. For the formation energy from the elements, the calculation gives 0.014 eV/atom. The value obtained for the total magnetization is 0.0 Bohr magnetons per cell. For the density of states at the Fermi level, the calculation gives 0.40 states/eV per atom.

abc: 6.8277 14.0489 4.8922
angles: 90.00 90.00 90.00
Atoms (fractional coordinates):
In: 0.0000 0.0000 0.0000
In: 0.5000 0.5000 0.0000
Hg: 0.2446 0.3755 0.5000
Hg: 0.2554 0.8755 0.5000
Hg: 0.7446 0.1245 0.5000
Hg: 0.7554 0.6245 0.5000
Pb: 0.0000 0.5000 0.0000
Pb: 0.0104 0.7501 0.0000
Pb: 0.2390 0.1201 0.5000
Pb: 0.2610 0.6201 0.5000
Pb: 0.4896 0.2501 0.0000
Pb: 0.5000 0.0000 0.0000
Pb: 0.5104 0.7499 0.0000
Pb: 0.7390 0.3799 0.5000
Pb: 0.7610 0.8799 0.5000
Pb: 0.9896 0.2499 0.0000

The following is a PBE-GGA calculation of crystalline In4Hg7Pb at its relaxed geometry, from Alexandria.

For the formation energy from the elements, the calculation gives 0.023 eV/atom. The value obtained for the total magnetization is 0.0 Bohr magnetons per cell. For the density of states at the Fermi level, the calculation gives 0.30 states/eV per atom.

abc: 4.7492 4.7492 17.2599
angles: 90.00 90.00 120.00
Atoms (fractional coordinates):
In: 0.3333 0.6667 0.1671
In: 0.3333 0.6667 0.4223
In: 0.6667 0.3333 0.5777
In: 0.6667 0.3333 0.8329
Hg: 0.0000 0.0000 0.2544
Hg: 0.0000 0.0000 0.5000
Hg: 0.0000 0.0000 0.7456
Hg: 0.3333 0.6667 0.6613
Hg: 0.3333 0.6667 0.9119
Hg: 0.6667 0.3333 0.0881
Hg: 0.6667 0.3333 0.3387
Pb: 0.0000 0.0000 0.0000

The following is a PBE-GGA calculation of crystalline In11Hg17Pb at its relaxed geometry, from Alexandria.

For the formation energy from the elements, the calculation gives 0.027 eV/atom. The value obtained for the total magnetization is 0.0 Bohr magnetons per cell. For the density of states at the Fermi level, the calculation gives 0.36 states/eV per atom.

abc: 10.1307 10.1307 7.8247
angles: 97.11 97.11 88.24
Atoms (fractional coordinates):
In: 0.0000 0.0000 0.0000
In: 0.1643 0.4871 0.7682
In: 0.1756 0.8044 0.2530
In: 0.3106 0.7863 0.8968
In: 0.3705 0.5962 0.5341
In: 0.4871 0.1643 0.7682
In: 0.5175 0.7484 0.2489
In: 0.5962 0.3705 0.5341
In: 0.7484 0.5175 0.2489
In: 0.7863 0.3106 0.8968
In: 0.8044 0.1756 0.2530
Hg: 0.0365 0.8080 0.6705
Hg: 0.0476 0.5726 0.3884
Hg: 0.0609 0.3190 0.1354
Hg: 0.0720 0.0720 0.4501
Hg: 0.1827 0.1827 0.8127
Hg: 0.2864 0.2864 0.4499
Hg: 0.3028 0.5151 0.1311
Hg: 0.3190 0.0609 0.1354
Hg: 0.3717 0.9083 0.5797
Hg: 0.5151 0.3028 0.1311
Hg: 0.5684 0.5684 0.8905
Hg: 0.5726 0.0476 0.3884
Hg: 0.6298 0.9218 0.9422
Hg: 0.7113 0.7113 0.6176
Hg: 0.8080 0.0365 0.6705
Hg: 0.9083 0.3717 0.5797
Hg: 0.9218 0.6298 0.9422
Pb: 0.8389 0.8389 0.2715

The following is a PBE-GGA calculation of crystalline In5Hg3Pb2 at its relaxed geometry, from Alexandria.

For the formation energy from the elements, the calculation gives 0.019 eV/atom. The value obtained for the total magnetization is 0.0 Bohr magnetons per cell. For the density of states at the Fermi level, the calculation gives 0.34 states/eV per atom.

abc: 9.4070 9.4070 6.5563
angles: 92.38 92.38 107.54
Atoms (fractional coordinates):
In: 0.0385 0.9615 0.7500
In: 0.2143 0.3038 0.9938
In: 0.2276 0.5306 0.3804
In: 0.3038 0.2143 0.4938
In: 0.4694 0.7724 0.1196
In: 0.5306 0.2276 0.8804
In: 0.6962 0.7857 0.5062
In: 0.7724 0.4694 0.6196
In: 0.7857 0.6962 0.0062
In: 0.9615 0.0385 0.2500
Hg: 0.0149 0.7225 0.3776
Hg: 0.2775 0.9851 0.1224
Hg: 0.4515 0.5485 0.7500
Hg: 0.5485 0.4515 0.2500
Hg: 0.7225 0.0149 0.8776
Hg: 0.9851 0.2775 0.6224
Pb: 0.1181 0.6339 0.8790
Pb: 0.3661 0.8819 0.6210
Pb: 0.6339 0.1181 0.3790
Pb: 0.8819 0.3661 0.1210

The following is a PBE-GGA calculation of crystalline In6Hg9Pb at its relaxed geometry, from Alexandria.

For the formation energy from the elements, the calculation gives 0.017 eV/atom. The value obtained for the total magnetization is 0.0 Bohr magnetons per cell. For the density of states at the Fermi level, the calculation gives 0.32 states/eV per atom.

abc: 8.2993 8.3721 8.4775
angles: 117.96 117.49 93.04
Atoms (fractional coordinates):
In: 0.1422 0.1597 0.0055
In: 0.2430 0.7426 0.4804
In: 0.3555 0.6374 0.0127
In: 0.6445 0.3626 0.9873
In: 0.7570 0.2574 0.5196
In: 0.8578 0.8403 0.9945
Hg: 0.0000 0.5000 0.0000
Hg: 0.0016 0.6915 0.6762
Hg: 0.1853 0.1775 0.6643
Hg: 0.3215 0.0228 0.3317
Hg: 0.4651 0.4929 0.6607
Hg: 0.5349 0.5071 0.3393
Hg: 0.6785 0.9772 0.6683
Hg: 0.8147 0.8225 0.3357
Hg: 0.9984 0.3085 0.3238
Pb: 0.5000 0.0000 0.0000

The following is a PBE-GGA calculation of crystalline In12Hg5Pb2 at its relaxed geometry, from Alexandria.

For the formation energy from the elements, the calculation gives 0.035 eV/atom. The value obtained for the total magnetization is 0.0 Bohr magnetons per cell. For the density of states at the Fermi level, the calculation gives 0.35 states/eV per atom.

abc: 9.4204 9.4204 7.0935
angles: 100.51 100.51 59.10
Atoms (fractional coordinates):
In: 0.0313 0.5639 0.7878
In: 0.0450 0.0450 0.2554
In: 0.1228 0.6729 0.4102
In: 0.3271 0.8772 0.5898
In: 0.3447 0.3447 0.0934
In: 0.4361 0.9687 0.2122
In: 0.5639 0.0313 0.7878
In: 0.6553 0.6553 0.9066
In: 0.6729 0.1228 0.4102
In: 0.8772 0.3271 0.5898
In: 0.9550 0.9550 0.7446
In: 0.9687 0.4361 0.2122
Hg: 0.1508 0.1508 0.9037
Hg: 0.2860 0.2860 0.5322
Hg: 0.5000 0.5000 0.5000
Hg: 0.7140 0.7140 0.4678
Hg: 0.8492 0.8492 0.0963
Pb: 0.3061 0.6939 0.0000
Pb: 0.6939 0.3061 0.0000

The following is a PBE-GGA calculation of crystalline InHg3Pb3 at its relaxed geometry, from Alexandria.

The value obtained for the excess energy over the best structure of this formula in the dataset is 7.40 kcal/mol of atoms. For the formation energy from the elements, the calculation gives 0.351 eV/atom. The value obtained for the total magnetization is 0.0 Bohr magnetons per cell. For the density of states at the Fermi level, the calculation gives 0.53 states/eV per atom.

abc: 8.2784 8.2784 8.2784
angles: 90.00 90.00 90.00
Atoms (fractional coordinates):
In: 0.0000 0.0000 0.0000
In: 0.5000 0.5000 0.5000
Hg: 0.0000 0.2500 0.5000
Hg: 0.0000 0.7500 0.5000
Hg: 0.2500 0.5000 0.0000
Hg: 0.5000 0.0000 0.2500
Hg: 0.5000 0.0000 0.7500
Hg: 0.7500 0.5000 0.0000
Pb: 0.0000 0.5000 0.2500
Pb: 0.0000 0.5000 0.7500
Pb: 0.2500 0.0000 0.5000
Pb: 0.5000 0.2500 0.0000
Pb: 0.5000 0.7500 0.0000
Pb: 0.7500 0.0000 0.5000

The following is a PBE-GGA calculation of crystalline In12Hg2Pb5 at its relaxed geometry, from Alexandria.

For the formation energy from the elements, the calculation gives 0.040 eV/atom. The value obtained for the total magnetization is 0.0 Bohr magnetons per cell. For the density of states at the Fermi level, the calculation gives 0.38 states/eV per atom.

abc: 10.6622 10.6622 5.6287
angles: 103.11 103.11 62.54
Atoms (fractional coordinates):
In: 0.0539 0.5468 0.7980
In: 0.0833 0.0833 0.1964
In: 0.1487 0.6643 0.4057
In: 0.3357 0.8513 0.5943
In: 0.4013 0.4013 0.9385
In: 0.4532 0.9461 0.2020
In: 0.5468 0.0539 0.7980
In: 0.5987 0.5987 0.0615
In: 0.6643 0.1487 0.4057
In: 0.8513 0.3357 0.5943
In: 0.9167 0.9167 0.8036
In: 0.9461 0.4532 0.2020
Hg: 0.2507 0.7493 0.0000
Hg: 0.7493 0.2507 0.0000
Pb: 0.1855 0.1855 0.7849
Pb: 0.2982 0.2982 0.3738
Pb: 0.5000 0.5000 0.5000
Pb: 0.7018 0.7018 0.6262
Pb: 0.8145 0.8145 0.2151